ZnGe3Ir: single point on PBEsol structure, SCAN.

Lattice parameters (Å, degrees): 4.7603 4.7603 4.7603 90.00 90.00 90.00
Closest atoms and distances in Å follow each position.
Positions (direct):
Ge 0.0000 0.5000 0.0000  2 Ir 2.38
Ge 0.0000 0.0000 0.5000  2 Ir 2.38
Ge 0.5000 0.0000 0.0000  2 Ir 2.38
Ir 0.0000 0.0000 0.0000  6 Ge 2.38
Zn 0.5000 0.5000 0.5000  12 Ge 3.37

## Properties
mass density = 7.32 Mg/m³

---

Zr2Ge2Ir: single point on PBEsol structure, SCAN.

Lattice parameters (Å, degrees): 4.2098 6.3853 6.3853 90.00 90.00 90.00
Closest atoms and distances in Å follow each position.
Positions (direct):
Ge 0.0000 0.3622 0.8622  2 Ir 2.47, 1 Ge 2.49, 2 Zr 2.74
Ge 0.0000 0.8622 0.6378  2 Ir 2.47, 1 Ge 2.49, 2 Zr 2.74
Ge 0.0000 0.6378 0.1378  2 Ir 2.47, 1 Ge 2.49, 2 Zr 2.74
Ge 0.0000 0.1378 0.3622  2 Ir 2.47, 1 Ge 2.49, 2 Zr 2.74
Ir 0.0000 0.0000 0.0000  4 Ge 2.47
Ir 0.0000 0.5000 0.5000  4 Ge 2.47
Zr 0.5000 0.1687 0.6687  6 Ge 2.74-2.88, 1 Zr 3.05
Zr 0.5000 0.6687 0.8313  6 Ge 2.74-2.88, 1 Zr 3.05
Zr 0.5000 0.8313 0.3313  6 Ge 2.74-2.88, 1 Zr 3.05
Zr 0.5000 0.3313 0.1687  6 Ge 2.74-2.88, 1 Zr 3.05

## Properties
mass density = 10.06 Mg/m³

---

ZrGeIr: single point on PBEsol structure, SCAN.

Lattice parameters (Å, degrees): 4.3120 5.2996 5.2996 70.27 65.99 65.99
Closest atoms and distances in Å follow each position.
Positions (direct):
Ge 0.5715 0.2070 0.6500  3 Ir 2.50-2.51, 1 Ge 2.70
Ge 0.5715 0.6500 0.2070  3 Ir 2.50-2.51, 1 Ge 2.70
Ir 0.2387 0.5013 0.0214  3 Ge 2.50-2.51
Ir 0.2387 0.0214 0.5013  3 Ge 2.50-2.51
Zr 0.8931 0.6069 0.6069  6 Ge 2.88-2.96, 6 Ir 2.92-2.98, 2 Zr 3.06
Zr 0.9183 0.0817 0.0817  6 Ir 2.88-2.94, 6 Ge 2.94-2.98, 2 Zr 3.06

## Properties
mass density = 11.96 Mg/m³

---

Respective energy of formation values: 0.43; -0.98; -1.02 eV/atom.